VASP calculation (GGA-PBE) on an optimized crystal structure of TbSmGaOs.

Cell: 7.0604 7.0604 7.0604 Å, 90.00 90.00 90.00°
Fractional positions:
Tb 0.0000 0.0000 0.0000
Tb 0.0000 0.5000 0.5000
Tb 0.5000 0.0000 0.5000
Tb 0.5000 0.5000 0.0000
Sm 0.0000 0.0000 0.5000
Sm 0.0000 0.5000 0.0000
Sm 0.5000 0.0000 0.0000
Sm 0.5000 0.5000 0.5000
Ga 0.2500 0.2500 0.2500
Ga 0.2500 0.7500 0.7500
Ga 0.7500 0.2500 0.7500
Ga 0.7500 0.7500 0.2500
Os 0.2500 0.2500 0.7500
Os 0.2500 0.7500 0.2500
Os 0.7500 0.2500 0.2500
Os 0.7500 0.7500 0.7500

Output
The value obtained for the energy of formation is -0.29 eV per atom. The value obtained for the size of the total moment is 0.000 μB per atom. The value obtained for the volume is 22.00 Å³ per atom.

---

VASP calculation (GGA-PBE) on an optimized crystal structure of TiMnPd6.

Cell: 3.9192 3.9192 7.8666 Å, 90.00 90.00 90.00°
Fractional positions:
Ti 0.0000 0.0000 0.0000
Mn 0.0000 0.0000 0.5000
Pd 0.0000 0.5000 0.2464
Pd 0.0000 0.5000 0.7536
Pd 0.5000 0.0000 0.2464
Pd 0.5000 0.0000 0.7536
Pd 0.5000 0.5000 0.0000
Pd 0.5000 0.5000 0.5000

Output
The value obtained for the energy of formation is -0.45 eV per atom. Its relative energy among the computed polymorphs is 0.00 eV/f.u. The value obtained for the size of the total moment is 0.507 μB per atom. The value obtained for the volume is 15.10 Å³ per atom.

---

VASP calculation (GGA-PBE) on an optimized crystal structure of HfTlBi3.

Cell: 5.6916 5.6916 5.6916 Å, 90.00 90.00 90.00°
Fractional positions:
Hf 0.0000 0.0000 0.0000
Tl 0.5000 0.5000 0.5000
Bi 0.0000 0.5000 0.5000
Bi 0.5000 0.0000 0.5000
Bi 0.5000 0.5000 0.0000

Output
The value obtained for the energy of formation is 1.23 eV per atom. Its relative energy among the computed polymorphs is 5.22 eV/f.u. The value obtained for the size of the total moment is 0.000 μB per atom. The value obtained for the volume is 36.87 Å³ per atom.

---

VASP calculation (GGA-PBE) on an optimized crystal structure of Y2CrSb.

Cell: 4.2611 4.2611 21.8959 Å, 90.00 90.00 120.00°
Fractional positions:
Y 0.0000 0.0000 0.2487
Y 0.0000 0.0000 0.7513
Y 0.3333 0.6667 0.4180
Y 0.3333 0.6667 0.9154
Y 0.6667 0.3333 0.0846
Y 0.6667 0.3333 0.5820
Cr 0.0000 0.0000 0.0000
Cr 0.3333 0.6667 0.6667
Cr 0.6667 0.3333 0.3333
Sb 0.0000 0.0000 0.5000
Sb 0.3333 0.6667 0.1667
Sb 0.6667 0.3333 0.8333

Output
As for the uncorrected formation energy: -28 meV/atom. The value obtained for the size of the total moment is 1.003 μB per atom. The value obtained for the volume is 28.69 Å³ per atom.

---

VASP calculation (GGA-PBE) on an optimized crystal structure of CaSiS2N.

Cell: 5.2539 5.2539 4.4349 Å, 90.00 90.00 90.00°
Fractional positions:
Ca 0.0000 0.0000 0.0000
Si 0.5000 0.5000 0.5000
S 0.0000 0.5000 0.0000
S 0.5000 0.0000 0.0000
N 0.0000 0.0000 0.5000

Output
As for the uncorrected formation energy: 940 meV/atom. Its relative energy among the computed polymorphs is 7.70 eV/f.u. The value obtained for the size of the total moment is 0.568 μB per atom. The value obtained for the volume is 24.48 Å³ per atom.

---

VASP calculation (GGA-PBE) on an optimized crystal structure of Na3ZrBe.

Cell: 5.1335 5.1335 5.1335 Å, 90.00 90.00 90.00°
Fractional positions:
Na 0.0000 0.0000 0.5000
Na 0.0000 0.5000 0.0000
Na 0.5000 0.0000 0.0000
Zr 0.5000 0.5000 0.5000
Be 0.0000 0.0000 0.0000

Output
The value obtained for the energy of formation is 1.20 eV per atom. Its relative energy among the computed polymorphs is 0.00 eV/f.u. The value obtained for the size of the total moment is 0.000 μB per atom. The value obtained for the volume is 27.06 Å³ per atom.

---

VASP calculation (GGA-PBE) on an optimized crystal structure of Al2As2Pb.

Cell: 4.0084 4.0084 14.1314 Å, 90.00 90.00 90.00°
Fractional positions:
Al 0.0000 0.5000 0.2500
Al 0.0000 0.5000 0.7500
Al 0.5000 0.0000 0.2500
Al 0.5000 0.0000 0.7500
As 0.0000 0.0000 0.1329
As 0.0000 0.0000 0.8671
As 0.5000 0.5000 0.3671
As 0.5000 0.5000 0.6329
Pb 0.0000 0.0000 0.5000
Pb 0.5000 0.5000 0.0000

Output
The value obtained for the energy of formation is -0.05 eV per atom. Its relative energy among the computed polymorphs is 0.00 eV/f.u. The value obtained for the size of the total moment is 0.000 μB per atom. The value obtained for the volume is 22.70 Å³ per atom.

---

VASP calculation (GGA-PBE) on an optimized crystal structure of Na2CdInSe4.

Cell: 7.5286 7.5286 7.1369 Å, 90.00 90.00 90.00°
Fractional positions:
Na 0.0000 0.5000 0.0000
Na 0.0000 0.5000 0.5000
Na 0.5000 0.0000 0.0000
Na 0.5000 0.0000 0.5000
Cd 0.0000 0.0000 0.0000
Cd 0.5000 0.5000 0.5000
In 0.0000 0.0000 0.5000
In 0.5000 0.5000 0.0000
Se 0.1872 0.1872 0.2584
Se 0.1872 0.8128 0.7416
Se 0.3128 0.3128 0.7584
Se 0.3128 0.6872 0.2416
Se 0.6872 0.3128 0.2416
Se 0.6872 0.6872 0.7584
Se 0.8128 0.1872 0.7416
Se 0.8128 0.8128 0.2584

Output
As for the uncorrected formation energy: -651 meV/atom. The value obtained for the size of the total moment is 0.000 μB per atom. The value obtained for the volume is 25.28 Å³ per atom.

---

no.,total DFT energy (no corrections) (eV per atom)
1,-6.19
2,-6.47
3,-3.56
4,-6.70
5,-3.86
6,-2.05
7,-4.15
8,-3.18